1.
! YLuInCu | OQMD | PBE | relaxed; values from VASP
! - final energy (eV/atom) = -4.30
! - SG = F-43m (216)
&SYSTEM
  ibrav = 0, nat = 4, ntyp = 4
/
ATOMIC_SPECIES
Y 88.91 Y.upf
Lu 174.97 Lu.upf
In 114.82 In.upf
Cu 63.55 Cu.upf
CELL_PARAMETERS angstrom
0.000 3.601 3.601
3.601 0.000 3.601
3.601 3.601 0.000
ATOMIC_POSITIONS crystal
Y 0.000 0.000 0.000
Lu 0.750 0.750 0.750
In 0.250 0.250 0.250
Cu 0.500 0.500 0.500

***

2.
! MgInCu | OQMD | PBE | relaxed; values from VASP
! - final energy (eV/atom) = -2.58
! - SG = P-62m (189)
&SYSTEM
  ibrav = 0, nat = 9, ntyp = 3
/
ATOMIC_SPECIES
Mg 24.30 Mg.upf
In 114.82 In.upf
Cu 63.55 Cu.upf
CELL_PARAMETERS angstrom
7.840 0.000 0.000
-3.920 6.789 0.000
0.000 0.000 3.221
ATOMIC_POSITIONS crystal
Mg 0.000 0.333 0.000
Mg 0.333 0.000 0.000
Mg 0.667 0.667 0.000
In 0.000 0.666 0.500
In 0.334 0.334 0.500
In 0.666 0.000 0.500
Cu 0.000 0.000 0.000
Cu 0.333 0.667 0.000
Cu 0.667 0.333 0.000

***

3.
! Na2Mg2In2CuNi | OQMD | PBE | relaxed; values from VASP
! - final energy (eV/atom) = -2.53
! - SG = P-4m2 (115)
&SYSTEM
  ibrav = 0, nat = 8, ntyp = 5
/
ATOMIC_SPECIES
Na 22.99 Na.upf
Mg 24.30 Mg.upf
In 114.82 In.upf
Cu 63.55 Cu.upf
Ni 58.69 Ni.upf
CELL_PARAMETERS angstrom
4.720 0.000 0.000
0.000 4.720 0.000
0.000 0.000 6.710
ATOMIC_POSITIONS crystal
Na 0.000 0.000 0.000
Na 0.500 0.500 0.500
Mg 0.000 0.500 0.243
Mg 0.500 0.000 0.757
In 0.000 0.500 0.758
In 0.500 0.000 0.242
Cu 0.000 0.000 0.500
Ni 0.500 0.500 0.000

***

4.
! Pr3MgIn2CuPt2 | OQMD | PBE | relaxed; values from VASP
! - final energy (eV/atom) = -4.87
! - SG = Amm2 (38)
&SYSTEM
  ibrav = 0, nat = 9, ntyp = 5
/
ATOMIC_SPECIES
Pr 140.91 Pr.upf
Mg 24.30 Mg.upf
In 114.82 In.upf
Cu 63.55 Cu.upf
Pt 195.08 Pt.upf
CELL_PARAMETERS angstrom
4.040 0.000 0.000
0.000 6.714 3.876
0.000 -6.714 3.876
ATOMIC_POSITIONS crystal
Pr 0.000 0.000 0.000
Pr 0.000 0.171 0.590
Pr 0.000 0.590 0.171
Mg 0.500 0.341 0.341
In 0.500 0.585 0.826
In 0.500 0.826 0.585
Cu 0.000 0.579 0.579
Pt 0.500 0.256 0.927
Pt 0.500 0.927 0.256

***

5.
! MgInCuRe | OQMD | PBE | relaxed; values from VASP
! - final energy (eV/atom) = -4.61
! - SG = F-43m (216)
&SYSTEM
  ibrav = 0, nat = 4, ntyp = 4
/
ATOMIC_SPECIES
Mg 24.30 Mg.upf
In 114.82 In.upf
Cu 63.55 Cu.upf
Re 186.21 Re.upf
CELL_PARAMETERS angstrom
0.000 3.211 3.211
3.211 0.000 3.211
3.211 3.211 0.000
ATOMIC_POSITIONS crystal
Mg 0.000 0.000 0.000
In 0.500 0.500 0.500
Cu 0.750 0.750 0.750
Re 0.250 0.250 0.250

***

6.
! MgTaInCu | OQMD | PBE | relaxed; values from VASP
! - final energy (eV/atom) = -4.48
! - SG = F-43m (216)
&SYSTEM
  ibrav = 0, nat = 4, ntyp = 4
/
ATOMIC_SPECIES
Mg 24.30 Mg.upf
Ta 180.95 Ta.upf
In 114.82 In.upf
Cu 63.55 Cu.upf
CELL_PARAMETERS angstrom
0.000 3.314 3.314
3.314 0.000 3.314
3.314 3.314 0.000
ATOMIC_POSITIONS crystal
Mg 0.000 0.000 0.000
Ta 0.250 0.250 0.250
In 0.500 0.500 0.500
Cu 0.750 0.750 0.750

***

7.
! MgTaInCu | OQMD | PBE | relaxed; values from VASP
! - final energy (eV/atom) = -4.48
! - SG = F-43m (216)
&SYSTEM
  ibrav = 0, nat = 4, ntyp = 4
/
ATOMIC_SPECIES
Mg 24.30 Mg.upf
Ta 180.95 Ta.upf
In 114.82 In.upf
Cu 63.55 Cu.upf
CELL_PARAMETERS angstrom
0.000 3.280 3.280
3.280 0.000 3.280
3.280 3.280 0.000
ATOMIC_POSITIONS crystal
Mg 0.000 0.000 0.000
Ta 0.750 0.750 0.750
In 0.250 0.250 0.250
Cu 0.500 0.500 0.500

***

8.
! TmMgIn4Cu2 | OQMD | PBE | relaxed; values from VASP
! - final energy (eV/atom) = -3.23
! - SG = Amm2 (38)
&SYSTEM
  ibrav = 0, nat = 8, ntyp = 4
/
ATOMIC_SPECIES
Tm 168.93 Tm.upf
Mg 24.30 Mg.upf
In 114.82 In.upf
Cu 63.55 Cu.upf
CELL_PARAMETERS angstrom
7.503 0.000 0.000
0.000 2.135 5.204
0.000 -2.135 5.204
ATOMIC_POSITIONS crystal
Tm 0.000 0.000 0.000
Mg 0.500 0.874 0.874
In 0.203 0.295 0.295
In 0.300 0.575 0.575
In 0.700 0.575 0.575
In 0.797 0.295 0.295
Cu 0.000 0.713 0.713
Cu 0.500 0.148 0.148

***

Which of these has the lowest final energy? Pr3MgIn2CuPt2

***

What is the formula in the eighth record? TmMgIn4Cu2

***

Among the records above, which one has the lowest final energy? Pr3MgIn2CuPt2

***

What is the final energy in the second record? -2.58 eV/atom